A plane-wave DFT calculation with PBE was carried out for a relaxed CaLaSi2 crystal.

Results
The raw total energy is -4.6282 eV/atom. The space-group type is Cmm2, No. 35. The density of states at the Fermi level is 2.263 states/eV/cell. As for the energy relative to the elements, uncorrected: -0.18 eV per atom.

Cell lengths 3.462, 3.462, 8.440 Å; angles 90.00, 90.00, 92.89 degrees
Positions (direct):
1 Ca 0.000 0.000 0.425
2 La 0.500 0.500 0.825
3 Si 0.500 0.500 0.180
4 Si 0.000 0.000 0.071